Density functional theory data (GGA-PBE) for GaPtI3 after structural relaxation.

```
GaPtI3
1.0
-2.635 4.517 1.832
-3.936 -3.200 2.228
2.874 -0.242 4.731
I Pt Ga
3 1 1
Direct
0.500 0.000 0.000
0.000 0.500 0.000
0.000 0.000 0.500
0.000 0.000 0.000
0.500 0.500 0.500
```

Its formation energy from raw total energies is -0.05 eV/atom. As for the space-group type: Pm-3m (221). Its energy above the lowest structure with this stoichiometry is 0.0 kJ/mol of atoms. The total energy is -14.0 eV per formula unit.

Density functional theory data (GGA-PBE) for Mn2CoN after structural relaxation.

```
Mn2CoN
1.0
6.233 0.000 0.000
0.000 6.233 0.000
3.117 3.117 2.023
Mn Co N
4 2 2
Direct
0.527 0.125 0.250
0.875 0.777 0.750
0.223 0.625 0.250
0.375 0.473 0.750
0.000 0.000 0.000
0.750 0.250 0.500
0.500 0.500 0.000
0.250 0.750 0.500
```

Its formation energy from raw total energies is 0.14 eV/atom. As for the space-group type: I-42d (122). The total energy is -33.2 eV per formula unit.

Density functional theory data (GGA-PBE) for ZnSiNiRh2 after structural relaxation.

```
ZnSiNiRh2
1.0
4.360 0.000 0.000
0.000 4.467 0.000
0.000 0.000 4.360
Si Rh Ni Zn
1 2 1 1
Direct
0.000 0.000 0.000
0.000 0.000 0.500
0.500 0.000 0.000
0.500 0.500 0.500
0.000 0.500 0.000
```

Its formation energy from raw total energies is 0.52 eV/atom. As for the space-group type: P4/mmm (123). The total energy is -24.6 eV per formula unit.

Density functional theory data (GGA-PBE) for Y2CdCuH after structural relaxation.

```
Y2CdCuH
1.0
-0.924 -4.622 -1.694
2.224 1.146 -4.339
3.346 -1.183 1.402
Y Cu H Cd
2 1 1 1
Direct
0.500 0.000 0.000
0.000 0.500 0.000
0.000 0.000 0.500
0.000 0.000 0.000
0.500 0.500 0.500
```

As for the space-group type: P4/mmm (123). The total energy is -22.7 eV per formula unit.